# Li12In (PBE-GGA, relaxed)
# E_tot = -1.5108 eV per atom
# Total moment = 0.0 μB/cell
# Space group = Fm-3m (225)
# V = 345 Å³/cell
data_Li12In
_cell_length_a 7.8691
_cell_length_b 7.8691
_cell_length_c 7.8691
_cell_angle_alpha 60.00
_cell_angle_beta 60.00
_cell_angle_gamma 60.00
_space_group_name_H-M_alt 'P 1'
_space_group_IT_number 1
_space_group_name_Hall 'P 1'
loop_
_atom_site_label
_atom_site_type_symbol
_atom_site_fract_x
_atom_site_fract_y
_atom_site_fract_z
_atom_site_occupancy
Li1 Li 0.5000 0.5000 0.1569 1
In1 In 0.0000 0.0000 0.0000 1
Li2 Li 0.5000 0.8431 0.1569 1
Li3 Li 0.1569 0.5000 0.5000 1
Li4 Li 0.8431 0.5000 0.5000 1
Li5 Li 0.8431 0.5000 0.1569 1
Li6 Li 0.5000 0.1569 0.8431 1
Li7 Li 0.8431 0.1569 0.5000 1
Li8 Li 0.1569 0.5000 0.8431 1
Li9 Li 0.1569 0.8431 0.5000 1
Li10 Li 0.5000 0.1569 0.5000 1
Li11 Li 0.5000 0.8431 0.5000 1
Li12 Li 0.5000 0.5000 0.8431 1